(1)
Below is an optimized crystal structure of CaAgF3, with properties calculated at the PBE-GGA level.

Results
Uncorrected formation energy, eV per formula unit: -13.6
Offset from the most stable computed form, meV/atom: 0.0
Space group: Pnma, No. 62

a = 5.953 Å, b = 6.164 Å, c = 8.611 Å
α = 90.00°, β = 90.00°, γ = 90.00°
Fractional coordinates of all 20 atoms:
Ca 0.500 0.000 0.000
Ca 0.500 0.000 0.500
Ca 0.000 0.500 0.000
Ca 0.000 0.500 0.500
Ag 0.982 0.942 0.750
Ag 0.482 0.558 0.250
Ag 0.518 0.442 0.750
Ag 0.018 0.058 0.250
F 0.624 0.938 0.250
F 0.876 0.438 0.250
F 0.124 0.562 0.750
F 0.376 0.062 0.750
F 0.694 0.698 0.567
F 0.694 0.698 0.933
F 0.806 0.198 0.567
F 0.806 0.198 0.933
F 0.194 0.802 0.433
F 0.194 0.802 0.067
F 0.306 0.302 0.067
F 0.306 0.302 0.433


(2)
Below is an optimized crystal structure of PrLuIrRh, with properties calculated at the PBE-GGA level.

Results
Energy relative to the elements, eV per formula unit: -2.95
Space group: F-43m, No. 216

a = 4.903 Å, b = 4.903 Å, c = 4.903 Å
α = 60.00°, β = 60.00°, γ = 60.00°
Fractional coordinates of all 4 atoms:
Pr 0.500 0.500 0.500
Rh 0.250 0.250 0.250
Ir 0.750 0.750 0.750
Lu 0.000 0.000 0.000


(3)
Below is an optimized crystal structure of Y6Al5Ga, with properties calculated at the PBE-GGA level.

Results
Energy relative to the elements, eV per formula unit: -5.36
Space group: Cmmm, No. 65

a = 5.086 Å, b = 7.237 Å, c = 8.048 Å
α = 90.00°, β = 71.61°, γ = 90.00°
Fractional coordinates of all 12 atoms:
Y 0.835 0.750 0.331
Y 0.835 0.250 0.331
Y 0.500 0.247 0.000
Y 0.500 0.753 0.000
Y 0.165 0.750 0.669
Y 0.165 0.250 0.669
Al 0.667 0.500 0.666
Al 0.331 0.000 0.338
Al 0.000 0.500 0.000
Al 0.669 0.000 0.662
Al 0.333 0.500 0.334
Ga 0.000 0.000 0.000


(4)
Below is an optimized crystal structure of HfVAu, with properties calculated at the PBE-GGA level.

Results
Offset from the most stable computed form, meV/atom: 27.7
Energy relative to the elements, eV per formula unit: -0.23
Space group: I4mm, No. 107

a = 3.326 Å, b = 3.326 Å, c = 5.404 Å
α = 107.92°, β = 107.92°, γ = 90.00°
Site moments in Bohr magnetons follow the coordinates.
Fractional coordinates of all 3 atoms:
Hf 0.672 0.672 0.344  0.04
Au 0.993 0.993 0.985  0.09
V 0.335 0.335 0.671  1.20


no.,VASP energy (eV/atom),density (g/cm³)
1,-4.809,4.31
2,-7.116,12.17
3,-5.490,4.36
4,-7.528,13.16